Record 1
# GGA-PBE La6ZnPt2Br3, optimized geometry
# formation energy from raw total energies: -1.122 eV per atom
# raw total energy: -122.80 eV for the cell shown
data_La6ZnPt2Br3
_chemical_formula_sum 'La12 Zn2 Pt4 Br6'
_cell_length_a 7.4983
_cell_length_b 12.9226
_cell_length_c 8.0414
_cell_angle_alpha 90.00
_cell_angle_beta 108.10
_cell_angle_gamma 90.00
_space_group_name_H-M_alt 'C 1 2/m 1'
_space_group_IT_number 12
loop_
_space_group_symop_operation_xyz
'x,y,z'
'-x,-y,-z'
'-x,y,-z'
'x,-y,z'
'x+1/2,y+1/2,z'
'-x+1/2,-y+1/2,-z'
'-x+1/2,y+1/2,-z'
'x+1/2,-y+1/2,z'
loop_
_atom_site_label
_atom_site_fract_x
_atom_site_fract_y
_atom_site_fract_z
La1 0.2214 0.0000 0.2114
La2 0.2474 0.3257 0.2167
Zn1 0.0000 0.5000 0.0000
Pt1 0.0000 0.1681 0.0000
Br1 0.0000 0.0000 0.5000
Br2 0.0000 0.3404 0.5000

=====

Record 2
# GGA-PBE TaCo2Rh, optimized geometry
# energy of formation from the pure elements: 0.184 eV/atom
# raw total energy: -98.04 eV for the cell shown
data_TaCo2Rh
_chemical_formula_sum 'Ta3 Co6 Rh3'
_cell_length_a 2.7288
_cell_length_b 2.7288
_cell_length_c 25.8666
_cell_angle_alpha 90.00
_cell_angle_beta 90.00
_cell_angle_gamma 120.00
_space_group_name_H-M_alt 'R -3 m'
_space_group_IT_number 166
_space_group_name_Hall '-R 3 2"'
loop_
_atom_site_label
_atom_site_fract_x
_atom_site_fract_y
_atom_site_fract_z
Ta1 0.0000 0.0000 0.0000
Co1 0.0000 0.0000 0.2472
Rh1 0.0000 0.0000 0.5000